# 1
A plane-wave DFT calculation with PBE was carried out for a geometry-optimized RePb2Se structure.

abc: 9.8805 9.8805 9.8805
angles: 19.22 19.22 19.22
With the nearest neighbours (Å) after each atom.
Fractional coordinates of all 4 atoms:
Pb  0.5072  0.5072  0.5072  3 Re 2.92, 3 Se 3.25
Pb  0.9928  0.9928  0.9928  3 Re 2.92, 3 Se 3.25
Re  0.2500  0.2500  0.2500  6 Pb 2.92
Se  0.7500  0.7500  0.7500  6 Pb 3.25, 6 Se 3.30



# 2
A plane-wave DFT calculation with PBE was carried out for a geometry-optimized RePbSe2 structure.

abc: 7.3806 7.3806 7.3806
angles: 155.06 147.41 41.47
With the nearest neighbours (Å) after each atom.
Fractional coordinates of all 4 atoms:
Re  0.2208  0.7208  0.5000  6 Se 2.48-2.69
Se  0.0827  0.0827  0.0000  2 Re 2.48
Se  0.7682  0.2682  0.5000  4 Re 2.69
Pb  0.4284  0.4284  0.0000  6 Se 3.03-3.37, 2 Pb 3.19, 2 Re 3.28



# 3
A plane-wave DFT calculation with PBE was carried out for a geometry-optimized RePb2Se structure.

abc: 3.5489 3.5485 7.1178
angles: 90.00 90.00 90.00
With the nearest neighbours (Å) after each atom.
Fractional coordinates of all 4 atoms:
Pb  0.0000  0.0000  0.0216  4 Re 2.99, 4 Se 3.17, 1 Pb 3.25
Pb  0.0000  0.0000  0.4784  4 Re 2.99, 4 Se 3.17, 1 Pb 3.25
Se  0.5000  0.5000  0.7500  8 Pb 3.17
Re  0.5000  0.5000  0.2500  8 Pb 2.99



# 4
A plane-wave DFT calculation with PBE was carried out for a geometry-optimized RePbSe2 structure.

abc: 3.1251 3.1251 9.2786
angles: 90.00 90.00 90.00
With the nearest neighbours (Å) after each atom.
Fractional coordinates of all 4 atoms:
Pb  0.0000  0.0000  0.5401  4 Pb 3.13, 4 Re 3.16, 4 Se 3.42
Re  0.5000  0.5000  0.7834  4 Se 2.54
Se  0.0000  0.0000  0.9179  4 Re 2.54
Se  0.5000  0.5000  0.2586  4 Se 3.13, 4 Pb 3.42



# 5
A plane-wave DFT calculation with PBE was carried out for a geometry-optimized RePbSe2 structure.

abc: 3.0106 3.0106 10.9690
angles: 90.00 90.00 116.11
With the nearest neighbours (Å) after each atom.
Fractional coordinates of all 4 atoms:
Re  0.5000  0.5000  0.7745  2 Se 2.46
Se  0.5000  0.5000  0.2501  6 Se 3.01-3.19
Se  0.0000  0.0000  0.9454  2 Re 2.46
Pb  0.0000  0.0000  0.5300  6 Pb 3.01-3.19, 2 Re 3.12



# 6
A plane-wave DFT calculation with PBE was carried out for a geometry-optimized RePbSe2 structure.

abc: 6.0983 6.0983 6.0983
angles: 147.74 125.77 64.52
With the nearest neighbours (Å) after each atom.
Fractional coordinates of all 4 atoms:
Se  0.0745  0.0745  0.0000  2 Re 2.48
Se  0.4255  0.4255  0.0000  2 Re 2.48
Pb  0.7500  0.2500  0.5000  4 Re 3.26, 4 Se 3.32, 2 Pb 3.39
Re  0.2500  0.7500  0.5000  4 Se 2.48



Asked for formation energy from raw total energies across the records above, the calculation gives 774, 251, 774, 308, 606, 245 meV per atom in order.
Asked for electronic total energy across the records above, the calculation gives -5.063, -5.530, -5.064, -5.473, -5.176, -5.537 eV per atom in order.